Computed, not measured: an optimized crystal structure of Nb2GeBiAs at the PBEsol level of DFT.

Output
- DOS(E_F) (states/eV/cell) = 7.235
- total moment (μB/atom) = 0.302
- energy of formation from the pure elements (eV per atom) = 1.93

a b c (Å): 5.1698 5.2249 5.2249
angles (deg): 90.00 90.00 90.00
Last column: nearest neighbours and their distance in Å.
Element x y z (fractional)
Bi: 0.0000 0.0000 0.0000  2 As 2.58, 4 Nb 2.61
Ge: 0.5000 0.5000 0.5000  8 Nb 3.68, 4 As 3.69
As: 0.5000 0.0000 0.0000  2 Bi 2.58
Nb: 0.0000 0.0000 0.5000  2 Bi 2.61
Nb: 0.0000 0.5000 0.0000  2 Bi 2.61

Computed, not measured: an optimized crystal structure of HfAuSO2 at the PBEsol level of DFT.

Output
- formation energy from raw total energies (eV per atom) = 0.036
- DOS(E_F) (states/eV/cell) = 2.466
- total moment (μB/atom) = 0.000

a b c (Å): 3.8668 3.8668 4.7621
angles (deg): 90.00 90.00 90.00
Last column: nearest neighbours and their distance in Å.
Element x y z (fractional)
O: 0.5000 0.0000 0.0000  2 S 1.93
O: 0.0000 0.5000 0.0000  2 S 1.93
Hf: 0.5000 0.5000 0.5000  4 Au 2.73
Au: 0.0000 0.0000 0.5000  2 S 2.38
S: 0.0000 0.0000 0.0000  4 O 1.93

Computed, not measured: an optimized crystal structure of TiBeCu2Br at the PBEsol level of DFT.

Output
- formation energy from raw total energies (eV per atom) = 1.426
- DOS(E_F) (states/eV/cell) = 4.322
- total moment (μB/atom) = 0.088

a b c (Å): 4.6634 4.6634 4.7759
angles (deg): 90.00 90.00 90.00
Last column: nearest neighbours and their distance in Å.
Element x y z (fractional)
Cu: 0.0000 0.5000 0.0000  2 Ti 2.33
Cu: 0.5000 0.0000 0.0000  2 Ti 2.33
Ti: 0.0000 0.0000 0.0000  4 Cu 2.33, 2 Be 2.39
Be: 0.0000 0.0000 0.5000  2 Ti 2.39
Br: 0.5000 0.5000 0.5000  4 Be 3.30, 8 Cu 3.34

Computed, not measured: an optimized crystal structure of ZnMoW at the PBEsol level of DFT.

Output
- DOS(E_F) (states/eV/cell) = 1.248
- total moment (μB/atom) = 0.000
- energy of formation from the pure elements (eV per atom) = 0.20
- ΔE to the lowest computed polymorph (meV per atom) = 16.4

a b c (Å): 2.6205 4.2044 4.7618
angles (deg): 116.20 105.97 90.00
Last column: nearest neighbours and their distance in Å.
Element x y z (fractional)
W: 0.6693 0.6693 0.3386  2 W 2.62, 5 Mo 2.67-2.84, 5 Zn 2.73-2.81
Mo: 0.9976 0.9976 0.9951  2 Mo 2.62, 5 W 2.67-2.84, 5 Zn 2.73-2.82
Zn: 0.3331 0.3331 0.6663  2 Zn 2.62, 5 Mo 2.73-2.82, 5 W 2.73-2.81

Computed, not measured: an optimized crystal structure of CrCo2Ru at the PBEsol level of DFT.

Output
- DOS(E_F) (states/eV/cell) = 5.085
- total moment (μB/atom) = 0.677
- energy of formation from the pure elements (eV per atom) = 0.18
- ΔE to the lowest computed polymorph (meV per atom) = 139.1

a b c (Å): 2.5535 2.5535 8.2607
angles (deg): 81.11 81.11 60.00
Last column: nearest neighbours and their distance in Å.
Element x y z (fractional)
Ru: 0.7514 0.7514 0.7459  3 Cr 2.52, 6 Ru 2.55, 3 Co 2.62
Co: 0.2505 0.2505 0.2484  9 Co 2.42-2.55, 3 Cr 2.48
Co: 0.9961 0.9961 0.0116  9 Co 2.42-2.55, 3 Ru 2.62
Cr: 0.5020 0.5020 0.4941  3 Co 2.48, 3 Ru 2.52, 6 Cr 2.55

Computed, not measured: an optimized crystal structure of ZnCu2Mo at the PBEsol level of DFT.

Output
- DOS(E_F) (states/eV/cell) = 3.959
- total moment (μB/atom) = 0.226
- energy of formation from the pure elements (eV per atom) = 0.33

a b c (Å): 3.9064 4.3774 3.9064
angles (deg): 116.50 90.00 116.50
Last column: nearest neighbours and their distance in Å.
Element x y z (fractional)
Cu: 0.7500 0.5000 0.2500  4 Mo 2.59, 4 Cu 2.59, 4 Zn 2.76
Cu: 0.0000 0.0000 0.0000  4 Cu 2.59, 4 Zn 2.59, 4 Mo 2.76
Mo: 0.5000 0.0000 0.5000  4 Zn 2.59, 8 Cu 2.59-2.76
Zn: 0.2500 0.5000 0.7500  8 Cu 2.59-2.76, 4 Mo 2.59

Computed, not measured: an optimized crystal structure of ZrInW2 at the PBEsol level of DFT.

Output
- DOS(E_F) (states/eV/cell) = 2.214
- total moment (μB/atom) = 0.000
- energy of formation from the pure elements (eV per atom) = 0.26

a b c (Å): 3.9904 3.9904 4.4800
angles (deg): 90.00 90.00 90.00
Last column: nearest neighbours and their distance in Å.
Element x y z (fractional)
Zr: 0.5000 0.5000 0.5000  4 In 2.82, 8 W 3.00
W: 0.5000 0.0000 0.0000  4 W 2.82, 4 Zr 3.00, 4 In 3.00
W: 0.0000 0.5000 0.0000  4 W 2.82, 4 Zr 3.00, 4 In 3.00
In: 0.0000 0.0000 0.5000  4 Zr 2.82, 8 W 3.00

Computed, not measured: an optimized crystal structure of BaMgCd2 at the PBEsol level of DFT.

Output
- DOS(E_F) (states/eV/cell) = 3.008
- total moment (μB/atom) = 0.000
- energy of formation from the pure elements (eV per atom) = -0.18

a b c (Å): 4.8870 4.8842 6.6093
angles (deg): 111.70 90.00 120.02
Last column: nearest neighbours and their distance in Å.
Element x y z (fractional)
Cd: 0.7474 0.4947 0.2423  3 Cd 2.87, 3 Mg 2.89
Cd: 0.0497 0.0995 0.1494  3 Cd 2.87, 3 Mg 3.06
Ba: 0.2531 0.5061 0.7588  4 Mg 3.53-3.73, 4 Cd 3.64-3.66
Mg: 0.4499 0.8997 0.3495  6 Cd 2.89-3.06

Computed, not measured: an optimized crystal structure of YI3 at the PBEsol level of DFT.

Output
- formation energy from raw total energies (eV per atom) = -1.398
- DOS(E_F) (states/eV/cell) = 0.000
- total moment (μB/atom) = 0.000

a b c (Å): 7.4612 7.4613 8.1563
angles (deg): 62.78 62.78 60.00
Last column: nearest neighbours and their distance in Å.
Element x y z (fractional)
I: 0.2385 0.9300 0.2480  2 Y 3.00
I: 0.5834 0.2385 0.2480  2 Y 3.00
I: 0.0700 0.4166 0.7520  2 Y 3.00
I: 0.4166 0.7615 0.7520  2 Y 3.00
I: 0.7615 0.0700 0.7520  2 Y 3.00
I: 0.9300 0.5834 0.2480  2 Y 3.00
Y: 0.1664 0.1664 0.5007  6 I 3.00
Y: 0.8336 0.8336 0.4993  6 I 3.00

Computed, not measured: an optimized crystal structure of Y20Si12C at the PBEsol level of DFT.

Output
- formation energy from raw total energies (eV per atom) = -0.763
- DOS(E_F) (states/eV/cell) = 20.533
- total moment (μB/atom) = 0.000

a b c (Å): 6.3053 8.3789 14.5046
angles (deg): 90.00 90.00 90.00
Last column: nearest neighbours and their distance in Å.
Element x y z (fractional)
Si: 0.7530 0.8026 0.6973  7 Y 2.89-3.09
Si: 0.7416 0.3008 0.1998  8 Y 2.92-3.26
Si: 0.2470 0.1974 0.3027  7 Y 2.89-3.09
Si: 0.7655 0.3964 0.5000  7 Y 2.90-3.04
Si: 0.2639 0.1003 0.0000  8 Y 2.91-3.23
Si: 0.7361 0.8997 0.0000  8 Y 2.91-3.23
Si: 0.2584 0.6992 0.1998  8 Y 2.92-3.26
Si: 0.7416 0.3008 0.8002  8 Y 2.92-3.26
Si: 0.2345 0.6036 0.5000  7 Y 2.90-3.04
Si: 0.2584 0.6992 0.8002  8 Y 2.92-3.26
Si: 0.7530 0.8026 0.3027  7 Y 2.89-3.09
Si: 0.2470 0.1974 0.6973  7 Y 2.89-3.09
Y: 0.7519 0.1216 0.3788  3 Si 2.89-3.00
Y: 0.5000 0.5000 0.3392  6 Si 3.00-3.04, 2 Y 3.16
Y: 0.5000 0.5000 0.6608  6 Si 3.00-3.04, 2 Y 3.16
Y: 0.2481 0.8784 0.3788  3 Si 2.89-3.00
Y: 0.0000 0.0000 0.1626  6 Si 3.01-3.05, 2 Y 3.16
Y: 0.0000 0.5000 0.3271  6 Si 2.97-3.04, 2 Y 3.16
Y: 0.7277 0.2642 0.0000  1 C 2.44
Y: 0.2723 0.7358 0.0000  1 C 2.44
Y: 0.2481 0.8784 0.6212  3 Si 2.89-3.00
Y: 0.7567 0.7570 0.5000  3 Si 2.89-3.02
Y: 0.2433 0.2430 0.5000  3 Si 2.89-3.02
Y: 0.7519 0.1216 0.6212  3 Si 2.89-3.00
Y: 0.0000 0.5000 0.6729  6 Si 2.97-3.04, 2 Y 3.16
Y: 0.0000 0.0000 0.8374  6 Si 3.01-3.05, 2 Y 3.16
Y: 0.5000 0.0000 0.8290  6 Si 2.97-3.01, 2 Y 3.16
Y: 0.2726 0.3813 0.8817  1 C 2.45
Y: 0.5000 0.0000 0.1710  6 Si 2.97-3.01, 2 Y 3.16
Y: 0.2726 0.3813 0.1183  1 C 2.45
Y: 0.7274 0.6187 0.1183  1 C 2.45
Y: 0.7274 0.6187 0.8817  1 C 2.45
C: 0.5000 0.5000 0.0000  6 Y 2.44-2.45

Computed, not measured: an optimized crystal structure of BaIrOs2 at the PBEsol level of DFT.

Output
- DOS(E_F) (states/eV/cell) = 3.871
- total moment (μB/atom) = 0.000
- energy of formation from the pure elements (eV per atom) = 1.09
- ΔE to the lowest computed polymorph (meV per atom) = 36.9

a b c (Å): 2.8498 2.8498 10.3331
angles (deg): 82.07 82.07 60.00
Last column: nearest neighbours and their distance in Å.
Element x y z (fractional)
Os: 0.7356 0.7356 0.7933  3 Ir 2.67, 6 Os 2.85
Os: 0.2644 0.2644 0.2067  3 Ir 2.67, 6 Os 2.85
Ir: 0.0000 0.0000 0.0000  6 Os 2.67, 6 Ir 2.85
Ba: 0.5000 0.5000 0.5000  6 Ba 2.85

Computed, not measured: an optimized crystal structure of Be5Ni at the PBEsol level of DFT.

Output
- DOS(E_F) (states/eV/cell) = 1.488
- total moment (μB/atom) = 0.000
- energy of formation from the pure elements (eV per atom) = -0.18

a b c (Å): 2.7100 4.1119 4.8957
angles (deg): 107.49 90.00 109.24
Last column: nearest neighbours and their distance in Å.
Element x y z (fractional)
Ni: 0.0000 0.0000 0.0000  12 Be 2.20-2.45
Be: 0.3323 0.6645 0.1670  8 Be 2.19-2.45, 3 Ni 2.21-2.45
Be: 0.3332 0.6664 0.6661  9 Be 2.19-2.45, 2 Ni 2.20
Be: 0.6668 0.3336 0.3339  9 Be 2.19-2.45, 2 Ni 2.20
Be: 0.6677 0.3355 0.8330  8 Be 2.19-2.45, 3 Ni 2.21-2.45
Be: 0.0000 0.0000 0.5000  10 Be 2.20-2.45, 2 Ni 2.45